# 1
5
Lattice="5.4947 0.0000 0.0000 0.0000 5.5739 0.0000 0.0000 0.0000 5.5739" Properties=species:S:1:pos:R:3 comment="HfTeCI2, optimized geometry, DFT PBEsol" raw_formation_energy_ev_per_atom=1.1687 total_magnetization_mub_per_fu=2.0 mass_density_g_cm3=5.6 total_energy_ev_per_cell=-21.36 pbc="T T T"
I 0.0000 2.7870 0.0000
I 0.0000 0.0000 2.7870
Te 2.7474 0.0000 0.0000
Hf 0.0000 0.0000 0.0000
C 2.7474 2.7870 2.7870


# 2
5
Lattice="-2.8445 1.3972 2.1483 -0.1819 -3.3116 1.9128 3.5401 1.8268 3.4994" Properties=species:S:1:pos:R:3 comment="HfIrPtC2, optimized geometry, DFT PBEsol" total_magnetization_mub_per_fu=0.0 e_form_mev_per_atom=1410 mass_density_g_cm3=12.6 total_energy_ev_per_cell=-39.53 pbc="T T T"
C -1.4223 0.6986 1.0741
C -0.0910 -1.6558 0.9564
Ir 1.7701 0.9134 1.7497
Hf 0.2568 -0.0438 3.7803
Pt 0.0000 0.0000 0.0000


# 3
8
Lattice="-3.0752 -2.3820 5.6564 3.7768 -2.1268 5.3234 0.1446 3.6794 5.7937" Properties=species:S:1:pos:R:3 comment="KHf2C, optimized geometry, DFT PBEsol" total_magnetization_mub_per_fu=1.4 e_form_mev_per_atom=683 mass_density_g_cm3=5.9 total_energy_ev_per_cell=-58.10 pbc="T T T"
Hf 0.1058 -0.1037 2.0967
Hf 1.9941 -1.1671 4.7584
Hf -1.4318 -1.2946 4.9249
Hf 0.1780 1.7360 4.9935
K 0.6346 -0.6220 12.5801
K 0.4231 -0.4147 8.3867
C 0.0000 0.0000 0.0000
C 0.2115 -0.2073 4.1934


# 4
22
Lattice="5.3394 0.0000 0.3015 0.0000 6.5875 0.0000 0.3994 0.0000 9.6250" Properties=species:S:1:pos:R:3 comment="KHfPCO7, optimized geometry, DFT PBEsol" raw_formation_energy_ev_per_atom=-2.4039 total_magnetization_mub_per_fu=0.1 mass_density_g_cm3=3.7 total_energy_ev_per_cell=-180.52 pbc="T T T"
O 3.4374 4.8090 9.4670
O 3.3195 4.9986 2.0948
O 2.7010 4.8365 5.0162
O 2.4194 1.7049 7.8317
O 4.4681 1.5918 8.6526
O 1.5155 2.8062 3.3537
O 2.3015 1.5153 0.4595
O 4.2734 3.6144 6.5654
O 0.5938 1.5849 5.3589
O 1.2708 4.8856 1.2739
O 5.1450 4.8787 4.5676
O 3.0378 1.5428 4.9104
O 1.4655 0.3207 3.3612
O 4.2233 6.0999 6.5728
K 0.7280 3.9934 8.4806
K 5.0108 0.6997 1.4459
C 2.5933 4.8985 0.9942
C 3.1456 1.6047 8.9324
Hf 1.5867 4.8425 3.3492
Hf 4.1521 1.5488 6.5773
P 4.0909 4.8568 5.6835
P 1.6479 1.5631 4.2430


# 5
5
Lattice="-4.3945 -0.9512 2.4598 1.2884 -4.9453 0.3894 2.3012 0.9522 4.4794" Properties=species:S:1:pos:R:3 comment="La3HfC, optimized geometry, DFT PBEsol" total_magnetization_mub_per_fu=0.0 e_form_mev_per_atom=300 mass_density_g_cm3=7.5 total_energy_ev_per_cell=-34.69 pbc="T T T"
La 0.6442 -2.4726 0.1947
La 1.1506 0.4761 2.2397
La -2.1973 -0.4756 1.2299
Hf -0.4024 -2.4721 3.6643
C 0.0000 0.0000 0.0000


# 6
5
Lattice="-0.0070 0.4478 3.1691 -2.9823 -1.1512 0.1560 1.8025 -4.5814 0.6513" Properties=species:S:1:pos:R:3 comment="LiHfC2N, optimized geometry, DFT PBEsol" raw_formation_energy_ev_per_atom=1.6572 total_magnetization_mub_per_fu=0.0 mass_density_g_cm3=7.3 total_energy_ev_per_cell=-32.00 pbc="T T T"
N -0.5934 -2.6424 1.9882
C -0.0035 0.2239 1.5846
C -1.4912 -0.5756 0.0780
Li 0.0000 0.0000 0.0000
Hf 0.9013 -2.2907 0.3256